Sr8GaGe2: relaxed, PBE.

Properties
The total energy is -2.6359 eV per atom. As for the space-group type: C2/m, No. 12. For the formation energy from the elements, the calculation gives -0.298 eV per atom.

Unit cell a=5.5095 b=7.6943 c=10.4941 alpha=102.76 beta=105.22 gamma=90.00
Element x y z (fractional)
Sr 0.4083 0.5634 0.8166
Sr 0.6655 0.9620 0.3310
Sr 0.7902 0.6770 0.5804
Sr 0.9609 0.2044 0.9218
Sr 0.2098 0.3230 0.4196
Sr 0.3345 0.0380 0.6690
Sr 0.5917 0.4366 0.1834
Sr 0.0391 0.7956 0.0782
Ga 0.5000 0.0000 0.0000
Ge 0.8041 0.2747 0.6081
Ge 0.1959 0.7253 0.3919



CaZr2: relaxed, PBE.

Properties
The calculation puts the polymorph energy (0 for the lowest one) at 221 meV/atom. The total energy is -5.9923 eV per atom. As for the space-group type: Pnnm, No. 58. For the formation energy from the elements, the calculation gives 0.374 eV per atom.

Unit cell a=3.0340 b=5.7906 c=8.9808 alpha=90.00 beta=90.00 gamma=90.00
Element x y z (fractional)
Ca 0.0000 0.0000 0.0000
Ca 0.5000 0.5000 0.5000
Zr 0.7651 0.0000 0.3507
Zr 0.2349 0.0000 0.6493
Zr 0.2651 0.5000 0.1493
Zr 0.7349 0.5000 0.8507